No. 1
A relaxed NaBi2Au3 crystal. Source: Alexandria via LeMat-Bulk, functional PBE-GGA.

abc: 9.547 9.547 7.080
angles: 104.50 104.50 28.96
Element x y z (fractional)
Na 0.121 0.121 0.136
Na 0.879 0.879 0.864
Bi 0.234 0.234 0.669
Bi 0.487 0.487 0.218
Bi 0.513 0.513 0.782
Bi 0.766 0.766 0.331
Au 0.071 0.071 0.650
Au 0.286 0.286 0.095
Au 0.371 0.371 0.504
Au 0.629 0.629 0.496
Au 0.714 0.714 0.905
Au 0.929 0.929 0.350

Properties
Formation energy from the elements in eV per atom: -0.14
Magnetic moment in μB per formula unit: 0.00

***

No. 2
A relaxed Ti2C2N crystal. Source: Alexandria via LeMat-Bulk, functional PBE-GGA.

abc: 5.737 5.737 2.899
angles: 90.00 90.00 90.00
Element x y z (fractional)
Ti 0.166 0.334 0.000
Ti 0.334 0.834 0.000
Ti 0.666 0.166 0.000
Ti 0.834 0.666 0.000
C 0.149 0.649 0.500
C 0.351 0.149 0.500
C 0.649 0.851 0.500
C 0.851 0.351 0.500
N 0.000 0.000 0.500
N 0.500 0.500 0.500

Properties
Uncorrected formation energy in eV/f.u.: 2.56
Magnetic moment in μB per formula unit: 0.00

***

Q: Look up the magnetic moment of the second one.
A: 0.00 μB per formula unit

***

Repeat the first record exactly.
A relaxed NaBi2Au3 crystal. Source: Alexandria via LeMat-Bulk, functional PBE-GGA.

abc: 9.547 9.547 7.080
angles: 104.50 104.50 28.96
Element x y z (fractional)
Na 0.121 0.121 0.136
Na 0.879 0.879 0.864
Bi 0.234 0.234 0.669
Bi 0.487 0.487 0.218
Bi 0.513 0.513 0.782
Bi 0.766 0.766 0.331
Au 0.071 0.071 0.650
Au 0.286 0.286 0.095
Au 0.371 0.371 0.504
Au 0.629 0.629 0.496
Au 0.714 0.714 0.905
Au 0.929 0.929 0.350

Properties
Formation energy from the elements in eV per atom: -0.14
Magnetic moment in μB per formula unit: 0.00

***

Q: Which value of magnetic moment does entry 1 give?
A: 0.00 μB per formula unit